Sr4SbS2Br: relaxed, GGA-PBE.

POSCAR file:
```
Sr4SbS2Br
1.0
6.3325 0.3449 0.0000
-0.3449 6.3325 0.0000
-2.9938 -3.3387 6.3897
Sb S Sr Br
1 2 4 1
Direct
0.9375 0.9375 0.0000
0.1869 0.6869 0.5000
0.6869 0.1869 0.5000
0.9374 0.4374 0.0000
0.4374 0.9374 0.0000
0.1829 0.1829 0.4920
0.6908 0.6908 0.5080
0.4375 0.4375 0.0000
```

Uncorrected formation energy ... -1736.8 meV per atom
Symmetry ... Fmm2
Final energy ... -4.334 eV per atom



SrSbS2Br: relaxed, GGA-PBE.

POSCAR file:
```
SrSbS2Br
1.0
5.2567 0.0000 0.0000
0.0000 7.5102 -0.6546
0.0000 -2.3161 8.7624
Sr S Br Sb
2 4 2 2
Direct
0.7500 0.2846 0.0558
0.2500 0.7154 0.9442
0.2500 0.4341 0.5741
0.2500 0.4808 0.1554
0.7500 0.5192 0.8446
0.7500 0.5659 0.4259
0.2500 0.0552 0.8354
0.7500 0.9448 0.1646
0.2500 0.6668 0.4329
0.7500 0.3332 0.5671
```

Uncorrected formation energy ... -1166.4 meV per atom
Symmetry ... P2_1/m
D(E_F) ... 0.000 states/eV/atom
Final energy ... -4.313 eV per atom



Sb2TeSBr: relaxed, GGA-PBE.

POSCAR file:
```
Sb2TeSBr
1.0
5.5993 0.0000 0.0000
0.0000 5.5993 0.0000
0.0000 0.0000 5.3224
Br S Te Sb
1 1 1 2
Direct
0.0000 0.0000 0.0000
0.5000 0.5000 0.5000
0.0000 0.0000 0.5000
0.0000 0.5000 0.0000
0.5000 0.0000 0.0000
```

Uncorrected formation energy ... 1222.8 meV per atom
Symmetry ... P4/mmm
D(E_F) ... 1.194 states/eV/atom
Final energy ... -2.215 eV per atom



Sb2TeSBr: relaxed, GGA-PBE.

POSCAR file:
```
Sb2TeSBr
1.0
5.3394 0.0000 0.0000
0.0000 5.3394 0.0000
0.0000 0.0000 5.2593
Br Sb S Te
1 2 1 1
Direct
0.5000 0.5000 0.5000
0.5000 0.0000 0.0000
0.0000 0.5000 0.0000
0.0000 0.0000 0.0000
0.0000 0.0000 0.5000
```

Uncorrected formation energy ... 488.5 meV per atom
Symmetry ... P4/mmm
D(E_F) ... 0.725 states/eV/atom
Final energy ... -2.949 eV per atom



Tl2SbSBr3: relaxed, GGA-PBE.

POSCAR file:
```
Tl2SbSBr3
1.0
-4.5460 2.4236 0.9607
-2.3843 -2.7593 -4.3215
1.2645 -6.0033 6.8350
S Sb Br Tl
1 1 3 2
Direct
0.5000 0.0000 0.0000
0.0000 0.0000 0.0000
0.1708 0.1708 0.3416
0.0000 0.5000 0.0000
0.8292 0.8292 0.6584
0.6324 0.6324 0.2648
0.3676 0.3676 0.7352
```

Uncorrected formation energy ... -556.2 meV per atom
Symmetry ... Immm
D(E_F) ... 0.174 states/eV/atom
Final energy ... -3.128 eV per atom



Tl2SbS2Br2: relaxed, GGA-PBE.

POSCAR file:
```
Tl2SbS2Br2
1.0
-0.7116 -4.2185 2.8778
2.3815 -2.8445 -3.5808
6.3602 4.8616 4.0802
Tl Br S Sb
2 2 2 1
Direct
0.3759 0.3759 0.7519
0.6241 0.6241 0.2481
0.8303 0.8303 0.6607
0.1697 0.1697 0.3393
0.5000 0.0000 0.0000
0.0000 0.5000 0.0000
0.0000 0.0000 0.0000
```

Uncorrected formation energy ... -442.5 meV per atom
Symmetry ... I4/mmm
D(E_F) ... 0.275 states/eV/atom
Final energy ... -3.365 eV per atom



ScS3Br: relaxed, GGA-PBE.

POSCAR file:
```
ScS3Br
1.0
-4.3385 -2.0130 -0.4708
0.9296 -2.8772 3.7355
-1.8466 3.2811 2.9867
S Sc Br
3 1 1
Direct
0.0000 0.5000 0.0000
0.5000 0.0000 0.0000
0.0000 0.0000 0.5000
0.5000 0.5000 0.5000
0.0000 0.0000 0.0000
```

Uncorrected formation energy ... 375.3 meV per atom
Symmetry ... Pm-3m
D(E_F) ... 0.285 states/eV/atom
Final energy ... -3.702 eV per atom



Sc3SBr7: relaxed, GGA-PBE.

POSCAR file:
```
Sc3SBr7
1.0
6.8077 0.0000 3.6186
3.4107 6.6764 1.7965
0.1601 0.0024 7.9118
S Sc Br
1 3 7
Direct
0.8036 0.5865 0.8063
0.0577 0.2690 0.6155
0.5817 0.7449 0.6156
0.0578 0.7449 0.6156
0.3487 0.9193 0.3834
0.3394 0.4233 0.3856
0.8043 0.0817 0.8251
0.2894 0.5966 0.8245
0.2890 0.0817 0.8251
0.8510 0.9114 0.3865
0.8517 0.4233 0.3856
```

Uncorrected formation energy ... -1723.4 meV per atom
Symmetry ... Cm
D(E_F) ... 0.000 states/eV/atom
Final energy ... -4.890 eV per atom



ScS3Br: relaxed, GGA-PBE.

POSCAR file:
```
ScS3Br
1.0
-4.3959 0.0915 -2.2762
-1.9034 -2.8653 3.5609
-1.2515 4.0366 2.5792
Sc S Br
1 3 1
Direct
0.0000 0.0000 0.0000
0.0000 0.0000 0.5000
0.5000 0.0000 0.0000
0.0000 0.5000 0.0000
0.5000 0.5000 0.5000
```

Uncorrected formation energy ... -108.6 meV per atom
Symmetry ... Pm-3m
D(E_F) ... 1.638 states/eV/atom
Final energy ... -4.186 eV per atom



Sc4SBr5: relaxed, GGA-PBE.

POSCAR file:
```
Sc4SBr5
1.0
-3.5142 -0.9526 -1.0616
2.7820 -6.3737 -3.4899
0.1018 -2.2706 8.4754
Br Sc S
5 4 1
Direct
0.1706 0.8342 0.3413
0.8294 0.1658 0.6587
0.8362 0.6697 0.6724
0.5000 0.5000 0.0000
0.1638 0.3303 0.3276
0.0000 0.7920 0.0001
0.0000 0.2080 0.9999
0.3563 0.9270 0.7126
0.6437 0.0730 0.2874
0.5000 0.0000 0.0000
```

Uncorrected formation energy ... -1538.4 meV per atom
Symmetry ... C2/m
D(E_F) ... 0.396 states/eV/atom
Final energy ... -5.320 eV per atom



ScS2Br2: relaxed, GGA-PBE.

POSCAR file:
```
ScS2Br2
1.0
-1.5514 -1.9069 -2.3251
1.9502 -2.6295 0.8553
-7.2702 -5.3616 6.7862
Br S Sc
2 2 1
Direct
0.4258 0.4258 0.1485
0.5742 0.5742 0.8515
0.2500 0.7500 0.5000
0.7500 0.2500 0.5000
0.0000 0.0000 0.0000
```

Uncorrected formation energy ... -642.1 meV per atom
Symmetry ... I4/mmm
D(E_F) ... 0.402 states/eV/atom
Final energy ... -4.228 eV per atom



Sc2SBr: relaxed, GGA-PBE.

POSCAR file:
```
Sc2SBr
1.0
3.7268 0.0001 -0.0005
0.0003 6.3067 0.0028
0.0031 0.0042 8.2375
Sc S Br
4 2 2
Direct
0.2010 0.1869 0.9495
0.7009 0.5070 0.6956
0.2010 0.0055 0.5198
0.7012 0.6862 0.2668
0.2013 0.9348 0.2036
0.7009 0.4353 0.0123
0.7010 0.3051 0.4181
0.2007 0.8059 0.7983
```

Uncorrected formation energy ... -1169.3 meV per atom
Symmetry ... Pm
D(E_F) ... 0.888 states/eV/atom
Final energy ... -5.785 eV per atom



Sc7SBr12: relaxed, GGA-PBE.

POSCAR file:
```
Sc7SBr12
1.0
-2.6826 6.8911 4.5363
-2.5702 1.1009 -8.2124
-4.1172 -6.9662 3.1276
Sc Br S
7 12 1
Direct
0.1023 0.0318 0.3063
0.0318 0.3063 0.1023
0.5000 0.5000 0.5000
0.9682 0.6937 0.8977
0.6937 0.8977 0.9682
0.8977 0.9682 0.6937
0.3063 0.1023 0.0318
0.2219 0.0765 0.6880
0.1541 0.3830 0.4599
0.0765 0.6880 0.2219
0.3830 0.4599 0.1541
0.9235 0.3120 0.7781
0.7781 0.9235 0.3120
0.8459 0.6170 0.5401
0.6880 0.2219 0.0765
0.4599 0.1541 0.3830
0.3120 0.7781 0.9235
0.5401 0.8459 0.6170
0.6170 0.5401 0.8459
0.0000 0.0000 0.0000
```

Uncorrected formation energy ... -1605.5 meV per atom
Symmetry ... R-3
D(E_F) ... 0.257 states/eV/atom
Final energy ... -5.032 eV per atom



Sc2SBr: relaxed, GGA-PBE.

POSCAR file:
```
Sc2SBr
1.0
3.8067 0.0000 0.0000
1.9034 3.2967 0.0000
1.9034 1.0989 6.5660
Sc Br S
2 1 1
Direct
0.2731 0.2731 0.1808
0.7269 0.7269 0.8192
0.5000 0.5000 0.5000
0.0000 0.0000 0.0000
```

Uncorrected formation energy ... -1398.1 meV per atom
Symmetry ... R-3m
D(E_F) ... 0.791 states/eV/atom
Final energy ... -6.014 eV per atom



ScS2Br: relaxed, GGA-PBE.

POSCAR file:
```
ScS2Br
1.0
0.3420 -4.7365 -0.4066
-1.9388 -2.8226 3.3152
-3.8654 -2.5880 -1.0380
S Sc Br
2 1 1
Direct
0.2500 0.2500 0.2500
0.7500 0.7500 0.7500
0.0000 0.0000 0.0000
0.5000 0.5000 0.5000
```

Uncorrected formation energy ... -262.0 meV per atom
Symmetry ... Fm-3m
D(E_F) ... 1.702 states/eV/atom
Final energy ... -4.327 eV per atom



ScS2Br: relaxed, GGA-PBE.

POSCAR file:
```
ScS2Br
1.0
2.1946 0.0000 8.5544
-1.0973 1.9006 8.5544
-1.0973 -1.9006 8.5544
Br S Sc
1 2 1
Direct
0.5000 0.5000 0.5000
0.0895 0.0895 0.0895
0.9105 0.9105 0.9105
0.0000 0.0000 0.0000
```

Uncorrected formation energy ... 383.2 meV per atom
Symmetry ... R-3m
D(E_F) ... 1.073 states/eV/atom
Final energy ... -3.682 eV per atom



ScS2Br: relaxed, GGA-PBE.

POSCAR file:
```
ScS2Br
1.0
6.3918 0.0000 0.0000
0.0000 6.3918 0.0000
3.1959 3.1959 5.9738
Sc Br S
2 2 4
Direct
0.5000 0.5000 0.0000
0.2500 0.7500 0.5000
0.7500 0.2500 0.5000
0.0000 0.0000 0.0000
0.2040 0.6250 0.2500
0.5460 0.1250 0.2500
0.3750 0.4540 0.7500
0.8750 0.7960 0.7500
```

Uncorrected formation energy ... -524.3 meV per atom
Symmetry ... I-42d
D(E_F) ... 1.018 states/eV/atom
Final energy ... -4.589 eV per atom



ScS2Br2: relaxed, GGA-PBE.

POSCAR file:
```
ScS2Br2
1.0
-1.4855 -4.8958 4.9092
0.8182 -5.1093 -4.8477
4.4133 -0.2879 1.0483
Sc S Br
2 4 4
Direct
0.5000 0.5000 0.0000
0.0000 0.0000 0.0000
0.3169 0.1831 0.5000
0.1831 0.6831 0.5000
0.8169 0.3169 0.5000
0.6831 0.8169 0.5000
0.8409 0.6591 0.0000
0.1591 0.3409 0.0000
0.3409 0.8409 0.0000
0.6591 0.1591 0.0000
```

Uncorrected formation energy ... 54.5 meV per atom
Symmetry ... P4/mbm
D(E_F) ... 0.563 states/eV/atom
Final energy ... -3.532 eV per atom



ScS2Br: relaxed, GGA-PBE.

POSCAR file:
```
ScS2Br
1.0
6.3878 -3.9180 2.4471
7.2675 -2.8190 -1.1742
7.6755 -0.3156 1.7689
S Br Sc
2 1 1
Direct
0.1085 0.1085 0.1085
0.8915 0.8915 0.8915
0.0000 0.0000 0.0000
0.5000 0.5000 0.5000
```

Uncorrected formation energy ... -1092.0 meV per atom
Symmetry ... R-3m
D(E_F) ... 0.000 states/eV/atom
Final energy ... -5.157 eV per atom



Sc2SBr: relaxed, GGA-PBE.

POSCAR file:
```
Sc2SBr
1.0
-3.2806 0.9795 1.3038
-2.3530 -2.5614 1.1508
0.7915 -0.1044 7.2173
Br S Sc
1 1 2
Direct
0.4966 0.4966 0.5102
0.6676 0.6676 0.9971
0.0666 0.0666 0.8001
0.2691 0.2691 0.1927
```

Uncorrected formation energy ... -1379.7 meV per atom
Symmetry ... R3m
D(E_F) ... 0.910 states/eV/atom
Final energy ... -5.996 eV per atom